! CrGaF | Alexandria via LeMat-Bulk | PBE with a Hubbard U | relaxed; values from VASP
&SYSTEM
  ibrav = 0, nat = 6, ntyp = 3
/
ATOMIC_SPECIES
Ga 69.72 Ga.upf
Cr 52.00 Cr.upf
F 19.00 F.upf
ATOMIC_POSITIONS crystal
Ga 0.784 0.317 0.536
Cr 0.426 0.426 0.161
F 0.950 0.870 0.639
F 0.248 0.861 0.063
Cr 0.096 0.868 0.353
Ga 0.122 0.321 0.866
CELL_PARAMETERS angstrom
-2.994 0.034 -0.603
-1.730 -5.127 1.065
-2.840 -1.024 6.318
! energy = -5.006 eV/atom
! magnetic moment = 4.22 μB/f.u.
! ΔE to the lowest computed polymorph = 0.071 eV per atom
! symmetry = P1